(1)
Material: SrMg4In8
Method: DFT, PBE-GGA
State: relaxed

The structure belongs to space group I4/mmm (No. 139); the cell edges are 10.3514, 10.3514 and 6.2823 Å and the angles 90.00°, 90.00° and 90.00°. Symmetry generates all atoms from Sr at (0.0000, 0.0000, 0.0000), Mg at (0.2500, 0.2500, 0.2500), In at (0.0000, 0.2186, 0.5000) and In at (0.0000, 0.3470, 0.0000).

The total energy comes out at -31.9 eV/f.u. Its calculated formation energy is -182 kJ/mol of formula units.

(2)
Material: AcYAu
Method: DFT, PBE-GGA
State: relaxed

The structure belongs to space group I4mm (No. 107); the cell edges are 3.7578, 3.7578 and 13.2170 Å and the angles 90.00°, 90.00° and 90.00°. Symmetry generates all atoms from Ac at (0.0000, 0.0000, 0.0000), Y at (0.0000, 0.0000, 0.7205) and Au at (0.0000, 0.0000, 0.3294).

The calculation puts the offset from the most stable computed form at 34 meV per atom. The total energy comes out at -15.3 eV/f.u. Its calculated formation energy is -145 kJ/mol of formula units.

(3)
Material: Ce3Fe2Ge7
Method: DFT, PBE-GGA
State: relaxed

The structure belongs to space group Cmmm (No. 65); the cell edges are 4.2527, 25.5721 and 4.2504 Å and the angles 90.00°, 90.00° and 90.00°. Symmetry generates all atoms from Ce at (0.0000, 0.0000, 0.0000), Ce at (0.0000, 0.1801, 0.0000), Fe at (0.0000, 0.3685, 0.5000), Ge at (0.0000, 0.0907, 0.5000), Ge at (0.0000, 0.2787, 0.5000), Ge at (0.0000, 0.4095, 0.0000) and Ge at (0.0000, 0.5000, 0.5000).

The calculation puts the offset from the most stable computed form at 107 meV per atom. The total energy comes out at -72.7 eV/f.u. Its calculated formation energy is -542 kJ/mol of formula units.

(4)
Material: K2UPbCl8
Method: DFT, PBE-GGA
State: relaxed

The structure belongs to space group P-1 (No. 2); the cell edges are 6.8650, 7.1178 and 8.8998 Å and the angles 89.90°, 90.00° and 87.48°. Symmetry generates all atoms from K at (0.0016, 0.4993, 0.2541), U at (0.5000, 0.0000, 0.0000), Pb at (0.5000, 0.0000, 0.5000), Cl at (0.2403, 0.3109, 0.5014), Cl at (0.2661, 0.2990, 0.9992), Cl at (0.2923, 0.8572, 0.2212) and Cl at (0.2969, 0.8515, 0.7791).

The calculation puts the uncorrected formation energy at -1.6620 eV per atom. The total energy comes out at -51.9 eV/f.u.

| no. | DOS at the Fermi energy (states/eV per cell) |
| --- | --- |
| 1 | 11.7 |
| 2 | 7.9 |
| 3 | 28.5 |
| 4 | 5.0 |